Entry from the Alexandria database: Th4ZnSe5 after structural relaxation (PBE-GGA).

Cell: 4.244 8.518 9.487 Å, 105.54 102.92 90.00°
Element x y z (fractional)
Th1 0.669 0.113 0.339
Th2 0.001 0.253 0.001
Th3 0.999 0.747 0.999
Se1 0.834 0.660 0.668
Se2 0.167 0.861 0.334
Se3 0.833 0.139 0.666
Se4 0.166 0.340 0.332
Zn1 0.500 0.000 0.000
Th4 0.331 0.887 0.661
Se5 0.500 0.500 0.000

Energy relative to the elements, uncorrected = -1.2876 eV/atom
Symmetry = No. 12
Calculated volume = 321.4 Å³ per cell
M_tot = 0.00 μB per cell
D(E_F) = 0.495 states/eV per atom